The following is a DFT calculation (PBE) of a geometry-optimized Cd4GeAu structure. Values from VASP.

Calculated values
* formation energy from the elements: -45 meV per atom
* total energy: -0.1449 Ry per atom
* space-group type: P4/mmm (123)

Structure (Quantum ESPRESSO input):
```
&SYSTEM
  ibrav = 0, nat = 6, ntyp = 3
/
ATOMIC_SPECIES
Cd 112.41 Cd.upf
Ge 72.64 Ge.upf
Au 196.97 Au.upf
CELL_PARAMETERS angstrom
4.597 0.000 0.002
0.000 4.597 0.003
-0.002 -0.004 6.700
ATOMIC_POSITIONS crystal
Cd 0.501 0.997 0.247
Cd 0.501 0.997 0.749
Cd 0.001 0.497 0.749
Cd 0.001 0.497 0.247
Ge 0.001 0.997 0.498
Au 0.501 0.497 0.998
```